# meta-GGA SCAN Ti2Ga2Ru, single point on PBEsol structure
# - Volume: 74 Å³/f.u.
# - Crystal system: tetragonal
# - DOS(E_F): 1.40 states/eV per cell
# - M_tot: 0.000 μB per cell
# - E: -20.530 eV/atom
data_Ti2Ga2Ru
_chemical_formula_sum 'Ti4 Ga4 Ru2'
_symmetry_space_group_name_H-M 'P 4/m b m'
_symmetry_Int_Tables_number 127
_symmetry_space_group_name_Hall '-P 4 2ab'
_cell_length_a 6.5497
_cell_length_b 6.5497
_cell_length_c 3.4368
_cell_angle_alpha 90.00
_cell_angle_beta 90.00
_cell_angle_gamma 90.00
loop_
_atom_site_label
_atom_site_type_symbol
_atom_site_fract_x
_atom_site_fract_y
_atom_site_fract_z
Ti1 Ti 0.1703 0.3297 0.0000
Ga1 Ga 0.1327 0.6327 0.5000
Ru1 Ru 0.0000 0.0000 0.5000